No. 1
# Pm3BPb | Alexandria | GGA-PBE | relaxed
data_Pm3BPb
_cell_length_a 5.189
_cell_length_b 5.189
_cell_length_c 5.189
_cell_angle_alpha 90.00
_cell_angle_beta 90.00
_cell_angle_gamma 90.00
_space_group_name_H-M_alt 'P m -3 m'
_space_group_IT_number 221
_space_group_name_Hall '-P 4 2 3'
loop_
_atom_site_label
_atom_site_type_symbol
_atom_site_fract_x
_atom_site_fract_y
_atom_site_fract_z
_atom_site_occupancy
Pm1 Pm 0.000 0.000 0.500 1
B1 B 0.000 0.000 0.000 1
Pb1 Pb 0.500 0.500 0.500 1
# - Fermi-level density of states: 2.1 states/eV/cell
# - Formation enthalpy at 0 K: -321 meV/atom

No. 2
# Pa2BrF8 | Alexandria | GGA-PBE | relaxed
data_Pa2BrF8
_cell_length_a 9.358
_cell_length_b 7.138
_cell_length_c 7.735
_cell_angle_alpha 90.00
_cell_angle_beta 112.36
_cell_angle_gamma 90.00
_space_group_name_H-M_alt 'C 1 2/m 1'
_space_group_IT_number 12
loop_
_space_group_symop_operation_xyz
'x,y,z'
'-x,-y,-z'
'-x,y,-z'
'x,-y,z'
'x+1/2,y+1/2,z'
'-x+1/2,-y+1/2,-z'
'-x+1/2,y+1/2,-z'
'x+1/2,-y+1/2,z'
loop_
_atom_site_label
_atom_site_type_symbol
_atom_site_fract_x
_atom_site_fract_y
_atom_site_fract_z
_atom_site_occupancy
Pa1 Pa 0.171 0.000 0.406 1
Br1 Br 0.000 0.000 0.000 1
F1 F 0.099 0.000 0.655 1
F2 F 0.140 0.307 0.363 1
F3 F 0.156 0.500 0.693 1
# - ΔE_f (raw): -3.50 eV/atom
# - Fermi-level density of states: 9.8 states/eV/cell

No. 3
# CdGePCl2 | Alexandria | GGA-PBE | relaxed
data_CdGePCl2
_cell_length_a 4.839
_cell_length_b 4.839
_cell_length_c 6.672
_cell_angle_alpha 90.00
_cell_angle_beta 90.00
_cell_angle_gamma 90.00
_space_group_name_H-M_alt 'P 4/m m m'
_space_group_IT_number 123
_space_group_name_Hall '-P 4 2'
loop_
_atom_site_label
_atom_site_type_symbol
_atom_site_fract_x
_atom_site_fract_y
_atom_site_fract_z
_atom_site_occupancy
Cd1 Cd 0.000 0.000 0.000 1
Ge1 Ge 0.000 0.000 0.500 1
P1 P 0.500 0.500 0.500 1
Cl1 Cl 0.000 0.500 0.000 1
# - ΔE_f (raw): 0.49 eV/atom
# - Fermi-level density of states: 2.0 states/eV/cell

No. 4
# Ac6Si2Se3S | Alexandria | GGA-PBE | relaxed
data_Ac6Si2Se3S
_cell_length_a 19.671
_cell_length_b 4.509
_cell_length_c 8.999
_cell_angle_alpha 90.00
_cell_angle_beta 103.70
_cell_angle_gamma 90.00
_space_group_name_H-M_alt 'C 1 2/m 1'
_space_group_IT_number 12
loop_
_space_group_symop_operation_xyz
'x,y,z'
'-x,-y,-z'
'-x,y,-z'
'x,-y,z'
'x+1/2,y+1/2,z'
'-x+1/2,-y+1/2,-z'
'-x+1/2,y+1/2,-z'
'x+1/2,-y+1/2,z'
loop_
_atom_site_label
_atom_site_type_symbol
_atom_site_fract_x
_atom_site_fract_y
_atom_site_fract_z
_atom_site_occupancy
Ac1 Ac 0.004 0.000 0.246 1
Ac2 Ac 0.165 0.500 0.091 1
Ac3 Ac 0.170 0.500 0.575 1
Si1 Si 0.164 0.000 0.328 1
Se1 Se 0.000 0.500 0.500 1
Se2 Se 0.166 0.000 0.834 1
S1 S 0.000 0.500 0.000 1
# - ΔE_f (raw): -1.51 eV/atom
# - Fermi-level density of states: 8.0 states/eV/cell

No. 5
# Tm3Sc3Cd | Alexandria | GGA-PBE | relaxed
data_Tm3Sc3Cd
_cell_length_a 8.9819
_cell_length_b 8.9819
_cell_length_c 5.2386
_cell_angle_alpha 90.00
_cell_angle_beta 90.00
_cell_angle_gamma 120.00
_space_group_name_H-M_alt 'P 63/m'
_space_group_IT_number 176
_space_group_name_Hall '-P 6c'
loop_
_atom_site_label
_atom_site_type_symbol
_atom_site_fract_x
_atom_site_fract_y
_atom_site_fract_z
_atom_site_occupancy
Tm1 Tm 0.1030 0.6333 0.2500 1
Sc1 Sc 0.0574 0.8264 0.7500 1
Cd1 Cd 0.3333 0.6667 0.7500 1
# - Fermi-level density of states: 24.5 states/eV/cell
# - Formation enthalpy at 0 K: -34 meV/atom

No. 6
# Pm3CoSn4 | Alexandria | GGA-PBE | relaxed
data_Pm3CoSn4
_cell_length_a 10.228
_cell_length_b 6.393
_cell_length_c 6.397
_cell_angle_alpha 90.00
_cell_angle_beta 90.00
_cell_angle_gamma 90.00
_space_group_name_H-M_alt 'P m n 21'
_space_group_IT_number 31
loop_
_space_group_symop_operation_xyz
'x,y,z'
'-x+1/2,-y,z+1/2'
'-x,y,z'
'x+1/2,-y,z+1/2'
loop_
_atom_site_label
_atom_site_type_symbol
_atom_site_fract_x
_atom_site_fract_y
_atom_site_fract_z
_atom_site_occupancy
Pm1 Pm 0.000 0.152 0.000 1
Pm2 Pm 0.186 0.660 0.778 1
Co1 Co 0.000 0.657 0.129 1
Sn1 Sn 0.000 0.415 0.453 1
Sn2 Sn 0.000 0.966 0.497 1
Sn3 Sn 0.226 0.826 0.249 1
# - Fermi-level density of states: 13.5 states/eV/cell
# - Formation enthalpy at 0 K: -467 meV/atom

No. 7
# BH6I2 | Alexandria | GGA-PBE | relaxed
data_BH6I2
_cell_length_a 11.954
_cell_length_b 4.841
_cell_length_c 4.791
_cell_angle_alpha 90.00
_cell_angle_beta 93.01
_cell_angle_gamma 90.00
_space_group_name_H-M_alt 'C 1 2/m 1'
_space_group_IT_number 12
loop_
_space_group_symop_operation_xyz
'x,y,z'
'-x,-y,-z'
'-x,y,-z'
'x,-y,z'
'x+1/2,y+1/2,z'
'-x+1/2,-y+1/2,-z'
'-x+1/2,y+1/2,-z'
'x+1/2,-y+1/2,z'
loop_
_atom_site_label
_atom_site_type_symbol
_atom_site_fract_x
_atom_site_fract_y
_atom_site_fract_z
_atom_site_occupancy
B1 B 0.000 0.000 0.000 1
H1 H 0.063 0.195 0.132 1
H2 H 0.064 0.000 0.812 1
I1 I 0.167 0.500 0.336 1
# - Fermi-level density of states: 6.0 states/eV/cell
# - Uncorrected energy: -54.3 eV per cell

No. 8
# ScCr2Te | Alexandria | GGA-PBE | relaxed
data_ScCr2Te
_cell_length_a 3.584
_cell_length_b 3.584
_cell_length_c 6.094
_cell_angle_alpha 90.00
_cell_angle_beta 90.00
_cell_angle_gamma 90.00
_space_group_name_H-M_alt 'P 4 m m'
_space_group_IT_number 99
loop_
_space_group_symop_operation_xyz
'x,y,z'
'-y,x,z'
'-x,-y,z'
'y,-x,z'
'-x,y,z'
'y,x,z'
'x,-y,z'
'-y,-x,z'
loop_
_atom_site_label
_atom_site_type_symbol
_atom_site_fract_x
_atom_site_fract_y
_atom_site_fract_z
_atom_site_occupancy
Sc1 Sc 0.000 0.000 0.000 1
Cr1 Cr 0.000 0.000 0.540 1
Cr2 Cr 0.500 0.500 0.723 1
Te1 Te 0.500 0.500 0.250 1
# - ΔE_f (raw): 0.06 eV/atom
# - Fermi-level density of states: 2.9 states/eV/cell

No. 9
# TcNi2Hg | Alexandria | GGA-PBE | relaxed
data_TcNi2Hg
_cell_length_a 3.757
_cell_length_b 3.757
_cell_length_c 8.176
_cell_angle_alpha 90.00
_cell_angle_beta 90.00
_cell_angle_gamma 90.00
_space_group_name_H-M_alt 'I -4 m 2'
_space_group_IT_number 119
_space_group_name_Hall 'I -4 -2'
loop_
_atom_site_label
_atom_site_type_symbol
_atom_site_fract_x
_atom_site_fract_y
_atom_site_fract_z
_atom_site_occupancy
Tc1 Tc 0.000 0.000 0.000 1
Ni1 Ni 0.000 0.000 0.500 1
Ni2 Ni 0.000 0.500 0.250 1
Hg1 Hg 0.000 0.500 0.750 1
# - Fermi-level density of states: 7.8 states/eV/cell
# - Formation enthalpy at 0 K: 450 meV/atom

No. 10
# SbTe2AsO | Alexandria | GGA-PBE | relaxed
data_SbTe2AsO
_cell_length_a 5.407
_cell_length_b 5.407
_cell_length_c 5.306
_cell_angle_alpha 90.00
_cell_angle_beta 90.00
_cell_angle_gamma 90.00
_space_group_name_H-M_alt 'P 4/m m m'
_space_group_IT_number 123
_space_group_name_Hall '-P 4 2'
loop_
_atom_site_label
_atom_site_type_symbol
_atom_site_fract_x
_atom_site_fract_y
_atom_site_fract_z
_atom_site_occupancy
Sb1 Sb 0.000 0.000 0.000 1
Te1 Te 0.000 0.500 0.500 1
As1 As 0.000 0.000 0.500 1
O1 O 0.500 0.500 0.000 1
# - ΔE_f (raw): 1.10 eV/atom
# - Fermi-level density of states: 11.2 states/eV/cell

No. 11
# YTlC3 | Alexandria | GGA-PBE | relaxed
data_YTlC3
_cell_length_a 4.356
_cell_length_b 4.356
_cell_length_c 4.356
_cell_angle_alpha 90.00
_cell_angle_beta 90.00
_cell_angle_gamma 90.00
_space_group_name_H-M_alt 'P m -3 m'
_space_group_IT_number 221
_space_group_name_Hall '-P 4 2 3'
loop_
_atom_site_label
_atom_site_type_symbol
_atom_site_fract_x
_atom_site_fract_y
_atom_site_fract_z
_atom_site_occupancy
Y1 Y 0.000 0.000 0.000 1
Tl1 Tl 0.500 0.500 0.500 1
C1 C 0.000 0.500 0.500 1
# - Fermi-level density of states: 3.8 states/eV/cell
# - Formation enthalpy at 0 K: 2471 meV/atom

No. 12
# Ac2Tb6Er3 | Alexandria | GGA-PBE | relaxed
data_Ac2Tb6Er3
_cell_length_a 6.189
_cell_length_b 10.724
_cell_length_c 12.001
_cell_angle_alpha 90.00
_cell_angle_beta 99.94
_cell_angle_gamma 90.00
_space_group_name_H-M_alt 'C 1 2/m 1'
_space_group_IT_number 12
loop_
_space_group_symop_operation_xyz
'x,y,z'
'-x,-y,-z'
'-x,y,-z'
'x,-y,z'
'x+1/2,y+1/2,z'
'-x+1/2,-y+1/2,-z'
'-x+1/2,y+1/2,-z'
'x+1/2,-y+1/2,z'
loop_
_atom_site_label
_atom_site_type_symbol
_atom_site_fract_x
_atom_site_fract_y
_atom_site_fract_z
_atom_site_occupancy
Ac1 Ac 0.000 0.167 0.000 1
Tb1 Tb 0.246 0.500 0.739 1
Tb2 Tb 0.247 0.167 0.739 1
Er1 Er 0.000 0.000 0.500 1
Er2 Er 0.000 0.335 0.500 1
# - Fermi-level density of states: 35.1 states/eV/cell
# - Formation enthalpy at 0 K: 186 meV/atom